Entry 1:
Density functional theory data (PBE) for an optimized crystal structure of Zn2AgI.

Cell: 4.540 4.540 12.189 Å, 105.26 105.26 58.63°
Element x y z (fractional)
1 Zn 0.047 0.047 0.129
2 Zn 0.379 0.403 0.170
3 Zn 0.597 0.621 0.830
4 Zn 0.953 0.953 0.871
5 Ag 0.309 0.313 0.937
6 Ag 0.687 0.691 0.063
7 I 0.622 0.167 0.643
8 I 0.833 0.378 0.357

Summary:
density of states at the Fermi level = 0.98 states/eV/f.u.
excess energy over the best structure of this formula in the dataset = 0.0104 eV per atom
formation energy without anion corrections = -0.062 eV/atom

***

Entry 2:
Density functional theory data (PBE) for an optimized crystal structure of Zn2AgI.

Cell: 5.109 5.109 5.109 Å, 60.00 60.00 60.00°
Element x y z (fractional)
1 Zn 0.250 0.250 0.250
2 Zn 0.750 0.750 0.750
3 Ag 0.000 0.000 0.000
4 I 0.500 0.500 0.500

Summary:
density of states at the Fermi level = 2.43 states/eV/f.u.
excess energy over the best structure of this formula in the dataset = 0.5661 eV per atom
formation energy without anion corrections = 0.494 eV/atom

***

Entry 3:
Density functional theory data (PBE) for an optimized crystal structure of Zn2AgI.

Cell: 5.091 6.410 6.687 Å, 85.62 69.83 68.17°
Element x y z (fractional)
1 Zn 0.000 0.000 0.000
2 Zn 0.005 0.338 0.297
3 Zn 0.191 0.233 0.649
4 Zn 0.508 0.347 0.281
5 Ag 0.478 0.107 0.929
6 Ag 0.680 0.728 0.168
7 I 0.023 0.896 0.480
8 I 0.558 0.541 0.806

Summary:
density of states at the Fermi level = 0.60 states/eV/f.u.
excess energy over the best structure of this formula in the dataset = 0.1250 eV per atom
formation energy without anion corrections = 0.053 eV/atom

***

Entry 4:
Density functional theory data (PBE) for an optimized crystal structure of Zn2AgI.

Cell: 4.125 4.139 11.680 Å, 80.65 83.34 86.32°
Element x y z (fractional)
1 Zn 0.000 0.000 0.000
2 Zn 0.033 0.585 0.843
3 Zn 0.085 0.143 0.680
4 Zn 0.476 0.532 0.999
5 Ag 0.545 0.099 0.842
6 Ag 0.585 0.679 0.668
7 I 0.138 0.591 0.483
8 I 0.707 0.204 0.196

Summary:
density of states at the Fermi level = 1.29 states/eV/f.u.
excess energy over the best structure of this formula in the dataset = 0.0000 eV per atom
formation energy without anion corrections = -0.072 eV/atom

***

Entry 5:
Density functional theory data (PBE) for an optimized crystal structure of Zn2Ag2I.

Cell: 7.730 7.730 3.587 Å, 90.00 90.00 90.00°
Element x y z (fractional)
1 Zn 0.158 0.342 0.000
2 Zn 0.342 0.842 0.000
3 Zn 0.658 0.158 0.000
4 Zn 0.842 0.658 0.000
5 Ag 0.132 0.632 0.500
6 Ag 0.368 0.132 0.500
7 Ag 0.632 0.868 0.500
8 Ag 0.868 0.368 0.500
9 I 0.000 0.000 0.500
10 I 0.500 0.500 0.500

Summary:
density of states at the Fermi level = 2.31 states/eV/f.u.
excess energy over the best structure of this formula in the dataset = 0.1303 eV per atom
formation energy without anion corrections = 0.219 eV/atom

***

Entry 6:
Density functional theory data (PBE) for an optimized crystal structure of Zn2AgI.

Cell: 4.569 4.569 5.644 Å, 90.00 90.00 120.91°
Element x y z (fractional)
1 Zn 0.174 0.826 0.000
2 Zn 0.826 0.174 0.000
3 Ag 0.500 0.500 0.868
4 I 0.000 0.000 0.462

Summary:
density of states at the Fermi level = 1.25 states/eV/f.u.
excess energy over the best structure of this formula in the dataset = 0.0555 eV per atom
formation energy without anion corrections = -0.017 eV/atom

***

Entry 7:
Density functional theory data (PBE) for an optimized crystal structure of Zr2ZnAgI.

Cell: 5.237 5.237 5.554 Å, 90.00 90.00 90.00°
Element x y z (fractional)
1 Zr 0.000 0.500 0.000
2 Zr 0.500 0.000 0.000
3 Zn 0.000 0.000 0.500
4 Ag 0.500 0.500 0.000
5 I 0.500 0.500 0.500

Summary:
density of states at the Fermi level = 5.87 states/eV/f.u.
formation energy without anion corrections = 1.117 eV/atom

***

Entry 8:
Density functional theory data (PBE) for an optimized crystal structure of ZrAgI3.

Cell: 5.736 5.736 5.736 Å, 90.00 90.00 90.00°
Element x y z (fractional)
1 Zr 0.000 0.000 0.000
2 Ag 0.500 0.500 0.500
3 I 0.000 0.000 0.500
4 I 0.000 0.500 0.000
5 I 0.500 0.000 0.000

Summary:
density of states at the Fermi level = 5.09 states/eV/f.u.
excess energy over the best structure of this formula in the dataset = 0.0000 eV per atom
formation energy without anion corrections = -0.116 eV/atom

***

Entry 9:
Density functional theory data (PBE) for an optimized crystal structure of ZrAg2I.

Cell: 5.081 5.081 5.081 Å, 60.00 60.00 60.00°
Element x y z (fractional)
1 Zr 0.000 0.000 0.000
2 Ag 0.250 0.250 0.250
3 Ag 0.750 0.750 0.750
4 I 0.500 0.500 0.500

Summary:
density of states at the Fermi level = 4.68 states/eV/f.u.
excess energy over the best structure of this formula in the dataset = 0.2820 eV per atom
formation energy without anion corrections = 0.550 eV/atom

***

Entry 10:
Density functional theory data (PBE) for an optimized crystal structure of ZrAgI5.

Cell: 7.966 7.966 11.360 Å, 110.50 110.50 89.89°
Element x y z (fractional)
1 Zr 0.000 0.500 0.000
2 Zr 0.500 0.000 0.500
3 Ag 0.128 0.872 0.750
4 Ag 0.872 0.128 0.250
5 I 0.167 0.182 0.981
6 I 0.182 0.167 0.481
7 I 0.185 0.579 0.846
8 I 0.322 0.678 0.250
9 I 0.421 0.815 0.654
10 I 0.579 0.185 0.346
11 I 0.678 0.322 0.750
12 I 0.815 0.421 0.154
13 I 0.818 0.833 0.519
14 I 0.833 0.818 0.019

Summary:
formation energy without anion corrections = -0.652 eV/atom

***

Entry 11:
Density functional theory data (PBE) for an optimized crystal structure of ZrAg2I.

Cell: 6.467 6.467 6.467 Å, 101.15 101.15 127.82°
Element x y z (fractional)
1 Zr 0.000 0.000 0.000
2 Zr 0.750 0.250 0.500
3 Ag 0.119 0.625 0.994
4 Ag 0.375 0.369 0.494
5 Ag 0.631 0.125 0.006
6 Ag 0.875 0.881 0.506
7 I 0.250 0.750 0.500
8 I 0.500 0.500 0.000

Summary:
density of states at the Fermi level = 3.32 states/eV/f.u.
excess energy over the best structure of this formula in the dataset = 0.0000 eV per atom
formation energy without anion corrections = 0.268 eV/atom

***

Entry 12:
Density functional theory data (PBE) for an optimized crystal structure of Zr2Ag2I.

Cell: 7.561 7.561 4.058 Å, 90.00 90.00 90.00°
Element x y z (fractional)
1 Zr 0.154 0.346 0.000
2 Zr 0.346 0.846 0.000
3 Zr 0.654 0.154 0.000
4 Zr 0.846 0.654 0.000
5 Ag 0.135 0.635 0.500
6 Ag 0.365 0.135 0.500
7 Ag 0.635 0.865 0.500
8 Ag 0.865 0.365 0.500
9 I 0.000 0.000 0.000
10 I 0.500 0.500 0.000

Summary:
density of states at the Fermi level = 5.93 states/eV/f.u.
formation energy without anion corrections = 0.109 eV/atom

***

What is the formula in the sixth record? Zn2AgI